Density functional theory data (PBE with a Hubbard U) for FeSeClF2 after structural relaxation.

abc: 3.9103 3.9103 5.4812
angles: 90.00 90.00 90.00
Last column: nearest neighbours and their distance in Å.
Space group P4/mmm (No. 123)
Inequivalent atoms, fractional coordinates:
Fe  0.0000  0.0000  0.0000 x1  4 F 1.96
Se  0.0000  0.0000  0.5000 x1  2 Fe 2.74, 4 Cl 2.77
Cl  0.5000  0.5000  0.5000 x1  4 Se 2.77
F  0.0000  0.5000  0.0000 x2  2 Fe 1.96

- final energy (eV per atom) = -4.125
- density of states at the Fermi level (states/eV/f.u.) = 2.2